Entry 1:
Cs2RbVI6: optimized geometry, GGA-PBE.

POSCAR file:
```
Cs2RbVI6
1.0
8.419 0.000 0.000
0.000 12.555 0.000
0.000 0.000 9.654
Cs Rb V I
4 2 2 12
direct
0.250 0.031 0.192
0.250 0.469 0.192
0.750 0.531 0.808
0.750 0.969 0.808
0.250 0.250 0.698
0.750 0.750 0.302
0.250 0.750 0.795
0.750 0.250 0.205
0.013 0.750 0.595
0.020 0.750 0.006
0.250 0.527 0.793
0.250 0.973 0.793
0.480 0.750 0.006
0.487 0.750 0.595
0.513 0.250 0.405
0.520 0.250 0.994
0.750 0.027 0.207
0.750 0.473 0.207
0.980 0.250 0.994
0.987 0.250 0.405
```

Results
**DOS(E_F)**: 1.0278 states/eV per atom
**ΔE_f (raw)**: -1.068 eV per atom


Entry 2:
Er2InRu: optimized geometry, GGA-PBE.

POSCAR file:
```
Er2InRu
1.0
7.094 0.000 0.000
0.000 7.094 0.000
0.000 0.000 7.094
Er In Ru
8 4 4
direct
0.250 0.250 0.250
0.250 0.250 0.750
0.250 0.750 0.250
0.250 0.750 0.750
0.750 0.250 0.250
0.750 0.250 0.750
0.750 0.750 0.250
0.750 0.750 0.750
0.000 0.000 0.000
0.000 0.500 0.500
0.500 0.000 0.500
0.500 0.500 0.000
0.000 0.000 0.500
0.000 0.500 0.000
0.500 0.000 0.000
0.500 0.500 0.500
```

Results
**ΔE_f**: -1.446 eV/f.u.
**DOS(E_F)**: 0.7173 states/eV per atom
**E above lowest polymorph**: 139 meV per atom


Entry 3:
NaYHf: optimized geometry, GGA-PBE.

POSCAR file:
```
NaYHf
1.0
5.167 0.000 0.000
0.000 5.765 0.000
0.000 0.000 11.141
Na Y Hf
4 4 4
direct
0.232 0.250 0.175
0.268 0.750 0.675
0.732 0.250 0.325
0.768 0.750 0.825
0.232 0.250 0.511
0.268 0.750 0.011
0.732 0.250 0.989
0.768 0.750 0.489
0.223 0.250 0.803
0.277 0.750 0.303
0.723 0.250 0.697
0.777 0.750 0.197
```

Results
**ΔE_f**: 1.476 eV/f.u.
**DOS(E_F)**: 1.4129 states/eV per atom
**E above lowest polymorph**: 373 meV per atom


Entry 4:
AcTiAsO5: optimized geometry, GGA-PBE.

POSCAR file:
```
AcTiAsO5
1.0
3.744 -4.545 0.000
3.744 4.545 0.000
-3.416 0.000 7.017
Ac Ti As O
2 2 2 10
direct
0.064 0.936 0.750
0.936 0.064 0.250
0.000 0.500 0.000
0.500 0.000 0.500
0.455 0.545 0.750
0.545 0.455 0.250
0.162 0.254 0.059
0.225 0.775 0.250
0.242 0.611 0.876
0.254 0.162 0.559
0.389 0.758 0.624
0.611 0.242 0.376
0.746 0.838 0.441
0.758 0.389 0.124
0.775 0.225 0.750
0.838 0.746 0.941
```

Results
**ΔE_f (raw)**: -2.499 eV per atom


Number 1: calculated volume 1020.38 Å³/cell. Number 2: calculated volume 357.03 Å³/cell. Number 3: calculated volume 331.84 Å³/cell. Number 4: calculated volume 238.76 Å³/cell.